1.
3
Lattice="2.913 0.000 0.000 -1.456 2.523 0.000 0.000 0.000 7.349" Properties=species:S:1:pos:R:3 comment="LiInW GGA-PBE optimized geometry" delta_e_f_kcal_per_mol_atoms=10.2 relative_energy_ev_per_atom=0.024 n_ef_per_ev_cell=2.0 crystal_system=trigonal pbc="T T T"
Li 0.000 0.000 0.000
In 0.000 1.682 4.860
W 1.456 0.841 2.375

2.
4
Lattice="2.675 -4.835 0.000 2.675 4.835 0.000 -0.934 0.000 2.606" Properties=species:S:1:pos:R:3 comment="LiInW2 GGA-PBE optimized geometry" delta_e_f_kcal_per_mol_atoms=11.4 n_ef_per_ev_cell=2.9 crystal_system=monoclinic pbc="T T T"
Li 0.000 0.000 0.000
In 2.675 0.000 0.000
W 0.870 2.418 1.303
W 0.870 -2.418 1.303

3.
6
Lattice="0.000 4.036 4.036 4.036 0.000 4.036 4.036 4.036 0.000" Properties=species:S:1:pos:R:3 comment="LiIn4W GGA-PBE optimized geometry" delta_e_f_kcal_per_mol_atoms=15.9 n_ef_per_ev_cell=3.7 crystal_system=cubic pbc="T T T"
Li 0.000 0.000 0.000
In 3.028 3.028 3.028
In 5.044 5.044 3.028
In 5.044 3.028 5.044
In 3.028 5.044 5.044
W 6.053 6.053 6.053

4.
3
Lattice="0.000 2.230 7.058 1.690 0.000 7.058 1.690 2.230 0.000" Properties=species:S:1:pos:R:3 comment="LiInW GGA-PBE optimized geometry" delta_e_f_kcal_per_mol_atoms=9.7 relative_energy_ev_per_atom=0.000 n_ef_per_ev_cell=1.1 crystal_system=orthorhombic pbc="T T T"
Li 0.000 0.000 0.000
In 1.690 2.230 4.687
W 1.690 2.230 9.333

Computed total magnetic moment, in the same sequence as the records: 0.0, 0.0, 1.0, 0.0 μB per cell.